## Y2MgIrRh (PBEsol)

Data for a geometry-optimized Y2MgIrRh structure.

* volume: 23.97 A^3/atom
* DOS at the Fermi energy: 2.9 states/eV/cell
* energy of formation: 0.7 eV/f.u.
* uncorrected energy: -6.526 eV/atom

a = 4.6595 Å, b = 5.0716 Å, c = 5.0716 Å
α = 90.00°, β = 90.00°, γ = 90.00°
Closest atoms and distances in Å follow each position.
Fractional coordinates of all 5 atoms:
Mg 0.5000 0.0000 0.0000  2 Rh 2.33
Y 0.0000 0.5000 0.0000  2 Rh 2.54
Y 0.0000 0.0000 0.5000  2 Rh 2.54
Rh 0.0000 0.0000 0.0000  2 Mg 2.33, 4 Y 2.54
Ir 0.5000 0.5000 0.5000  8 Y 3.44, 4 Mg 3.59